Below is a relaxed structure of PrDy4Er3, with properties calculated at the PBE level.

a = 6.270 Å, b = 7.263 Å, c = 11.271 Å
α = 90.00°, β = 90.00°, γ = 90.00°
Atoms (fractional coordinates):
Er 0.981 0.626 0.250
Dy 0.981 0.124 0.748
Er 0.981 0.626 0.750
Dy 0.647 0.125 0.500
Dy 0.147 0.875 0.000
Dy 0.481 0.876 0.752
Pr 0.647 0.626 0.500
Dy 0.481 0.876 0.248
Dy 0.981 0.124 0.252
Er 0.481 0.374 0.250
Er 0.648 0.626 0.000
Er 0.481 0.374 0.750
Er 0.148 0.374 0.500
Dy 0.649 0.124 0.000
Dy 0.149 0.876 0.500
Pr 0.147 0.374 0.000

Properties
Offset from the most stable computed form ... 0.000 eV/atom
ΔE_f ... 10 meV per atom
Symmetry ... Pmn2_1



Below is a relaxed structure of HgPPdW2, with properties calculated at the PBE level.

a = 4.962 Å, b = 4.314 Å, c = 4.962 Å
α = 90.00°, β = 90.00°, γ = 90.00°
Atoms (fractional coordinates):
W 0.500 0.000 0.000
W 0.000 0.000 0.500
P 0.000 0.500 0.000
Pd 0.000 0.000 0.000
Hg 0.500 0.500 0.500

Properties
ΔE_f ... 1927 meV per atom
Symmetry ... P4/mmm



Below is a relaxed structure of NaTaMnOs2, with properties calculated at the PBE level.

a = 4.527 Å, b = 4.530 Å, c = 4.527 Å
α = 90.00°, β = 90.00°, γ = 90.00°
Atoms (fractional coordinates):
Mn 0.000 0.000 0.000
Ta 0.000 0.500 0.000
Os 0.000 0.000 0.500
Os 0.500 0.000 0.000
Na 0.500 0.500 0.500

Properties
ΔE_f ... 1260 meV per atom
Symmetry ... P4/mmm



Below is a relaxed structure of CeDy2TmCo2, with properties calculated at the PBE level.

a = 6.566 Å, b = 6.716 Å, c = 7.931 Å
α = 115.05°, β = 114.45°, γ = 90.00°
Atoms (fractional coordinates):
Dy 0.200 0.502 0.400
Ce 0.250 0.500 0.000
Co 0.901 0.188 0.803
Co 0.099 0.812 0.197
Dy 0.700 0.898 0.400
Ce 0.750 0.500 0.000
Tm 0.250 0.000 0.000
Dy 0.300 0.102 0.600
Co 0.599 0.385 0.197
Dy 0.800 0.498 0.600
Co 0.401 0.615 0.803
Tm 0.750 0.000 0.000

Properties
ΔE_f ... -116 meV per atom
Symmetry ... Ibam



Below is a relaxed structure of Nd2SbRh2, with properties calculated at the PBE level.

a = 4.504 Å, b = 5.676 Å, c = 5.676 Å
α = 62.76°, β = 66.62°, γ = 66.62°
Atoms (fractional coordinates):
Rh 0.500 0.271 0.729
Nd 0.204 0.296 0.296
Rh 0.500 0.729 0.271
Sb 0.000 0.000 0.000
Nd 0.796 0.704 0.704

Properties
Formation energy from raw total energies ... -851.0 meV per atom
Offset from the most stable computed form ... 0.003 eV/atom
Symmetry ... Immm



Below is a relaxed structure of MnRuCl2, with properties calculated at the PBE level.

a = 6.995 Å, b = 6.995 Å, c = 4.277 Å
α = 85.16°, β = 85.16°, γ = 25.91°
Atoms (fractional coordinates):
Cl 0.387 0.387 0.540
Cl 0.113 0.113 0.960
Mn 0.750 0.750 0.750
Ru 0.250 0.250 0.250

Properties
Formation energy from raw total energies ... -5.6 meV per atom
Offset from the most stable computed form ... 0.150 eV/atom
Symmetry ... C2/m



no.,N(E_F) (states/eV per cell),VASP energy (eV/atom)
1,25.478,-4.60
2,5.785,-5.44
3,4.565,-7.70
4,14.092,-5.75
5,2.821,-6.52
6,2.745,-5.54